[1]
# PBE Ta2Cu2Ru, optimized geometry
# V	148.5	Å³/cell
data_Ta2Cu2Ru
_space_group_name_H-M_alt 'P 4/m b m'
_space_group_IT_number 127
_space_group_name_Hall '-P 4 2ab'
_cell_length_a 6.694
_cell_length_b 6.694
_cell_length_c 3.314
_cell_angle_alpha 90.00
_cell_angle_beta 90.00
_cell_angle_gamma 90.00
loop_
_atom_site_label
_atom_site_type_symbol
_atom_site_fract_x
_atom_site_fract_y
_atom_site_fract_z
Ta1 Ta 0.178 0.322 0.000
Cu1 Cu 0.124 0.624 0.500
Ru1 Ru 0.000 0.000 0.500

=====

[2]
# PBE TaCu2Ru, optimized geometry
# V	56.0	Å³/cell
# energy above the lowest structure with this stoichiometry	64	meV per atom
data_TaCu2Ru
_space_group_name_H-M_alt 'P 4/m m m'
_space_group_IT_number 123
_space_group_name_Hall '-P 4 2'
_cell_length_a 3.707
_cell_length_b 3.707
_cell_length_c 4.074
_cell_angle_alpha 90.00
_cell_angle_beta 90.00
_cell_angle_gamma 90.00
loop_
_atom_site_label
_atom_site_type_symbol
_atom_site_fract_x
_atom_site_fract_y
_atom_site_fract_z
Ta1 Ta 0.000 0.000 0.000
Cu1 Cu 0.000 0.500 0.500
Ru1 Ru 0.500 0.500 0.000

=====

[3]
# PBE TaCu2Ru, optimized geometry
# V	56.1	Å³/cell
# energy above the lowest structure with this stoichiometry	169	meV per atom
data_TaCu2Ru
_space_group_name_H-M_alt 'P m m m'
_space_group_IT_number 47
_cell_length_a 2.761
_cell_length_b 3.995
_cell_length_c 5.091
_cell_angle_alpha 90.00
_cell_angle_beta 90.00
_cell_angle_gamma 90.00
loop_
_space_group_symop_operation_xyz
'x,y,z'
'-x,-y,-z'
'-x,-y,z'
'x,y,-z'
'x,-y,-z'
'-x,y,z'
'-x,y,-z'
'x,-y,z'
loop_
_atom_site_label
_atom_site_type_symbol
_atom_site_fract_x
_atom_site_fract_y
_atom_site_fract_z
Ta1 Ta 0.000 0.000 0.000
Cu1 Cu 0.500 0.500 0.257
Ru1 Ru 0.000 0.000 0.500

=====

[4]
# PBE TaCu2Ru, optimized geometry
# V	112.0	Å³/cell
# energy above the lowest structure with this stoichiometry	44	meV per atom
data_TaCu2Ru
_space_group_name_H-M_alt 'I -4 m 2'
_space_group_IT_number 119
_space_group_name_Hall 'I -4 -2'
_cell_length_a 3.834
_cell_length_b 3.834
_cell_length_c 7.617
_cell_angle_alpha 90.00
_cell_angle_beta 90.00
_cell_angle_gamma 90.00
loop_
_atom_site_label
_atom_site_type_symbol
_atom_site_fract_x
_atom_site_fract_y
_atom_site_fract_z
Ta1 Ta 0.000 0.000 0.000
Cu1 Cu 0.000 0.000 0.500
Cu2 Cu 0.000 0.500 0.250
Ru1 Ru 0.000 0.500 0.750

=====

no.,total energy (eV per atom)
1,-8.176
2,-7.365
3,-7.260
4,-7.386